A relaxed Na2Hg2Pt crystal. Source: the Alexandria database, functional GGA-PBE.

```
10
Lattice="7.190 0.000 0.000 0.000 7.190 0.000 0.000 0.000 4.722" Properties=species:S:1:pos:R:3 pbc="T T T"
Pt 0.000 0.000 0.000
Na 1.254 4.849 2.361
Na 5.936 2.341 2.361
Na 2.341 1.254 2.361
Hg 4.653 1.058 0.000
Hg 2.537 6.132 0.000
Pt 3.595 3.595 0.000
Hg 6.132 4.653 0.000
Na 4.849 5.936 2.361
Hg 1.058 2.537 0.000
```

Calculated values
Formation enthalpy at 0 K, kJ/mol of formula units: -78
E above lowest polymorph, eV/f.u.: 0.24

=====

A relaxed NaHg2Pt crystal. Source: the Alexandria database, functional GGA-PBE.

```
4
Lattice="4.025 0.000 0.000 0.000 4.429 0.000 0.000 0.000 4.429" Properties=species:S:1:pos:R:3 pbc="T T T"
Pt 2.012 2.215 2.215
Hg 0.000 0.000 2.215
Na 2.012 0.000 0.000
Hg 0.000 2.215 0.000
```

Calculated values
Formation enthalpy at 0 K, kJ/mol of formula units: -27

=====

A relaxed Na12Hg6Pt crystal. Source: the Alexandria database, functional GGA-PBE.

```
19
Lattice="7.977 -0.177 0.468 0.431 7.967 0.468 -0.191 -0.177 7.988" Properties=species:S:1:pos:R:3 pbc="T T T"
Na 5.362 7.522 7.631
Hg 2.161 5.636 7.606
Na 3.948 4.415 2.020
Na 0.171 1.045 2.952
Hg 2.033 0.662 6.144
Na 1.265 2.839 0.414
Na 4.269 3.198 6.905
Na 8.046 6.568 5.974
Na 2.855 0.091 1.295
Hg 7.103 1.725 6.392
Hg 1.114 5.888 2.533
Na 6.952 4.773 8.512
Hg 6.184 6.951 2.781
Na 4.531 1.346 4.101
Hg 6.056 1.977 1.319
Na 1.625 3.600 4.854
Na 6.591 4.013 4.072
Pt 0.000 0.000 0.000
Na 3.686 6.266 4.824
```

Calculated values
Formation enthalpy at 0 K, kJ/mol of formula units: -328

=====

A relaxed Na2HgPt crystal. Source: the Alexandria database, functional GGA-PBE.

```
4
Lattice="3.049 0.000 0.000 0.000 3.049 0.000 0.000 0.000 9.120" Properties=species:S:1:pos:R:3 pbc="T T T"
Na 0.000 0.000 2.548
Hg 1.525 1.525 0.000
Na 0.000 0.000 6.571
Pt 1.525 1.525 4.560
```

Calculated values
Formation enthalpy at 0 K, kJ/mol of formula units: -49

=====

A relaxed Na2Hg2Pt crystal. Source: the Alexandria database, functional GGA-PBE.

```
10
Lattice="7.296 0.000 0.000 0.000 7.296 0.000 0.000 0.000 4.423" Properties=species:S:1:pos:R:3 pbc="T T T"
Na 2.593 6.241 0.000
Na 1.055 2.593 0.000
Pt 3.648 3.648 0.000
Hg 1.198 4.846 2.211
Hg 6.099 2.451 2.211
Na 4.703 1.055 0.000
Na 6.241 4.703 0.000
Hg 2.451 1.198 2.211
Pt 0.000 0.000 0.000
Hg 4.846 6.099 2.211
```

Calculated values
Formation enthalpy at 0 K, kJ/mol of formula units: 44
E above lowest polymorph, eV/f.u.: 1.50

=====

A relaxed NaHgPt4 crystal. Source: the Alexandria database, functional GGA-PBE.

```
6
Lattice="-5.180 -1.345 -0.413 -1.492 -3.947 -3.318 -1.726 -4.675 1.995" Properties=species:S:1:pos:R:3 pbc="T T T"
Pt -4.504 -4.255 0.576
Pt -2.657 -5.558 -0.879
Pt -5.250 -6.231 -1.085
Na 0.000 0.000 0.000
Pt -4.386 -3.891 -2.084
Hg -2.100 -2.492 -0.434
```

Calculated values
Formation enthalpy at 0 K, kJ/mol of formula units: -80

=====

A relaxed Na3Hg2Pt crystal. Source: the Alexandria database, functional GGA-PBE.

```
12
Lattice="5.349 0.000 -2.351 -2.002 8.147 -4.556 0.381 -0.954 8.129" Properties=species:S:1:pos:R:3 pbc="T T T"
Na 0.542 2.214 1.234
Na 0.013 7.005 0.030
Hg -1.222 6.749 -2.780
Pt 1.337 0.000 -0.588
Na 3.011 4.074 -4.041
Hg 4.950 0.444 4.001
Hg 2.530 2.365 -1.503
Na 3.715 0.188 1.191
Na 3.186 4.979 -0.012
Na 0.336 4.074 -2.866
Hg 1.198 4.828 2.725
Pt 4.012 0.000 -1.763
```

Calculated values
Formation enthalpy at 0 K, kJ/mol of formula units: -118

=====

A relaxed NaHg2Pt crystal. Source: the Alexandria database, functional GGA-PBE.

```
4
Lattice="-1.611 -3.238 -0.233 1.897 -1.150 2.866 -4.534 1.982 3.796" Properties=species:S:1:pos:R:3 pbc="T T T"
Hg -3.469 1.516 2.904
Hg -1.065 0.466 0.892
Na -2.124 -1.203 3.214
Pt 0.143 -2.194 1.316
```

Calculated values
Formation enthalpy at 0 K, kJ/mol of formula units: -27

=====

A relaxed Na2HgPt2 crystal. Source: the Alexandria database, functional GGA-PBE.

```
10
Lattice="-7.082 -2.003 3.707 -1.210 -5.978 -5.541 1.394 -1.833 1.673" Properties=species:S:1:pos:R:3 pbc="T T T"
Hg -4.146 -3.990 -0.917
Pt -5.478 -4.453 2.108
Hg 0.000 0.000 0.000
Na -3.783 -6.047 -3.473
Na -7.001 -5.456 -0.144
Pt -5.125 -7.171 -1.165
Pt -1.773 -2.643 1.004
Na -1.291 -2.525 -1.690
Na -4.509 -1.934 1.639
Pt -1.420 -5.361 -2.269
```

Calculated values
Formation enthalpy at 0 K, kJ/mol of formula units: 57
E above lowest polymorph, eV/f.u.: 1.43

=====

A relaxed Na6HgPt2 crystal. Source: the Alexandria database, functional GGA-PBE.

```
9
Lattice="4.828 0.000 1.325 2.232 4.281 1.325 -0.301 -0.183 10.553" Properties=species:S:1:pos:R:3 pbc="T T T"
Na 4.736 2.872 11.116
Na 5.555 3.368 8.132
Na 3.966 2.405 4.465
Na 1.204 0.730 5.071
Na 2.023 1.226 2.088
Pt 0.415 0.252 7.945
Hg 0.000 0.000 0.000
Na 2.793 1.693 8.739
Pt 6.344 3.847 5.259
```

Calculated values
Formation enthalpy at 0 K, kJ/mol of formula units: -132

=====

A relaxed NaHg2Pt crystal. Source: the Alexandria database, functional GGA-PBE.

```
4
Lattice="4.620 0.000 0.000 2.310 4.001 0.000 2.310 1.334 5.224" Properties=species:S:1:pos:R:3 pbc="T T T"
Na 4.620 2.668 2.779
Hg 2.310 1.334 4.288
Pt 6.930 4.001 5.050
Hg 2.310 1.334 0.943
```

Calculated values
Formation enthalpy at 0 K, kJ/mol of formula units: -48

=====

A relaxed Na2HgPt crystal. Source: the Alexandria database, functional GGA-PBE.

```
4
Lattice="-4.327 -1.462 -0.807 1.272 -1.827 -3.511 0.789 -3.496 2.105" Properties=species:S:1:pos:R:3 pbc="T T T"
Hg -1.133 -3.392 -1.106
Na 0.636 -0.913 -1.755
Pt -2.163 -0.731 -0.403
Na 0.394 -1.748 1.052
```

Calculated values
Formation enthalpy at 0 K, kJ/mol of formula units: -59

=====

A relaxed Na8Hg2Pt crystal. Source: the Alexandria database, functional GGA-PBE.

```
11
Lattice="-0.371 3.993 -3.238 -2.169 -4.496 -5.295 -6.596 1.066 6.171" Properties=species:S:1:pos:R:3 pbc="T T T"
Na -4.854 1.817 2.797
Hg -3.956 -1.969 -1.975
Na -6.712 -0.149 0.585
Na -7.163 4.027 1.685
Na -3.107 0.015 0.375
Pt -0.186 1.996 -1.619
Na -1.973 -3.465 -4.046
Na -4.282 -1.255 -5.158
Na -6.029 0.547 -2.736
Na -2.424 0.712 -2.946
Hg -5.180 2.532 -0.387
```

Calculated values
Formation enthalpy at 0 K, kJ/mol of formula units: -138

=====

A relaxed Na3HgPt crystal. Source: the Alexandria database, functional GGA-PBE.

```
5
Lattice="5.475 0.000 0.000 0.000 5.475 0.000 0.000 0.000 5.475" Properties=species:S:1:pos:R:3 pbc="T T T"
Na 0.000 0.000 2.737
Na 2.737 0.000 0.000
Na 0.000 2.737 0.000
Hg 2.737 2.737 2.737
Pt 0.000 0.000 0.000
```

Calculated values
Formation enthalpy at 0 K, kJ/mol of formula units: 17
E above lowest polymorph, eV/f.u.: 1.09

=====

A relaxed NaHgPt2 crystal. Source: the Alexandria database, functional GGA-PBE.

```
4
Lattice="4.163 0.000 0.000 0.000 4.095 0.000 0.000 0.000 4.095" Properties=species:S:1:pos:R:3 pbc="T T T"
Na 2.081 2.047 2.047
Pt 0.000 0.000 2.047
Pt 0.000 2.047 0.000
Hg 2.081 0.000 0.000
```

Calculated values
Formation enthalpy at 0 K, kJ/mol of formula units: -40

=====

A relaxed Na2HgPt crystal. Source: the Alexandria database, functional GGA-PBE.

```
8
Lattice="-0.274 -3.788 2.739 1.612 -4.903 -2.616 7.130 -1.241 3.001" Properties=species:S:1:pos:R:3 pbc="T T T"
Na 2.544 -2.435 0.890
Na 4.872 -7.870 1.613
Pt 2.009 -4.154 -1.541
Pt 8.030 -7.793 2.036
Hg 5.218 -1.447 2.525
Hg 3.194 -5.584 0.604
Na 0.497 -4.798 1.420
Na 5.839 -4.600 2.229
```

Calculated values
Formation enthalpy at 0 K, kJ/mol of formula units: -81

=====

A relaxed Na2Hg2Pt crystal. Source: the Alexandria database, functional GGA-PBE.

```
5
Lattice="3.935 0.000 0.000 0.000 3.935 0.000 1.968 1.968 7.284" Properties=species:S:1:pos:R:3 pbc="T T T"
Na 1.968 3.935 3.642
Hg 1.968 1.968 1.391
Na 3.935 1.968 3.642
Hg 3.935 3.935 5.893
Pt 0.000 0.000 0.000
```

Calculated values
Formation enthalpy at 0 K, kJ/mol of formula units: 99
E above lowest polymorph, eV/f.u.: 2.07

=====

A relaxed Na4Hg4Pt crystal. Source: the Alexandria database, functional GGA-PBE.

```
9
Lattice="5.232 -2.048 3.417 0.810 5.702 0.674 0.634 -1.159 7.643" Properties=species:S:1:pos:R:3 pbc="T T T"
Hg 2.675 2.148 7.703
Hg 1.075 0.539 5.447
Hg 4.001 0.348 4.031
Hg 5.600 1.956 6.287
Na 3.063 3.334 4.697
Na 5.229 1.544 9.399
Na 3.613 -0.838 7.037
Pt 0.000 0.000 0.000
Na 1.446 0.952 2.335
```

Calculated values
Formation enthalpy at 0 K, kJ/mol of formula units: -170

=====

A relaxed Na3HgPt crystal. Source: the Alexandria database, functional GGA-PBE.

```
20
Lattice="6.657 0.000 0.000 0.000 7.293 -1.255 0.000 0.055 10.118" Properties=species:S:1:pos:R:3 pbc="T T T"
Na 3.388 6.284 5.305
Na 5.292 2.207 5.785
Hg 1.879 3.229 5.604
Pt 1.053 0.612 5.641
Hg 4.778 4.119 3.260
Na 0.060 1.091 8.617
Na 0.313 1.657 3.008
Na 1.365 5.141 3.078
Na 3.015 1.684 8.067
Pt 4.381 6.763 8.281
Hg 1.450 3.202 0.545
Na 4.693 2.179 0.726
Na 1.964 5.169 8.137
Hg 5.207 4.146 8.319
Na 3.269 1.064 3.558
Pt 5.604 6.736 3.222
Na 6.344 5.691 5.855
Na 3.642 5.664 0.796
Pt 2.276 0.585 0.582
Na 6.597 6.257 0.246
```

Calculated values
Formation enthalpy at 0 K, kJ/mol of formula units: -88
E above lowest polymorph, eV/f.u.: 0.00

=====

A relaxed Na2Hg2Pt crystal. Source: the Alexandria database, functional GGA-PBE.

```
10
Lattice="5.629 0.000 0.000 0.000 6.363 0.000 -2.815 -3.182 6.737" Properties=species:S:1:pos:R:3 pbc="T T T"
Na 0.000 -1.214 4.437
Na 2.815 4.396 2.300
Hg 0.000 5.320 1.264
Pt 4.222 3.182 0.000
Pt 1.407 3.182 0.000
Hg 2.815 1.043 1.264
Na 0.000 1.967 2.300
Hg 0.000 2.139 5.473
Na 2.815 1.214 4.437
Hg 2.815 -2.139 5.473
```

Calculated values
Formation enthalpy at 0 K, kJ/mol of formula units: -101
E above lowest polymorph, eV/f.u.: 0.00

=====

no.,DOS(E_F) (states/eV per atom)
1,0.37
2,0.60
3,0.36
4,0.34
5,0.13
6,1.34
7,0.29
8,0.18
9,0.36
10,0.34
11,0.28
12,0.26
13,0.28
14,0.74
15,0.45
16,0.34
17,0.35
18,0.42
19,0.25
20,0.37